# 1
Material: CsRbH2Pd
Method: DFT, PBE
State: optimized geometry

Unit cell a=7.268 b=7.268 c=7.268 alpha=144.98 beta=144.98 gamma=50.37
Fractional coordinates of all 5 atoms:
1 Rb 0.363 0.363 0.000
2 H 0.871 0.871 0.000
3 H 0.130 0.130 0.000
4 Cs 0.638 0.638 0.000
5 Pd 0.999 0.999 0.000

Values from the calculation:
ΔE to the lowest computed polymorph: 19 meV/atom

# 2
Material: CsRbH2Pt
Method: DFT, PBE
State: optimized geometry

Unit cell a=6.782 b=6.782 c=6.782 alpha=46.74 beta=46.74 gamma=46.74
Fractional coordinates of all 5 atoms:
1 Pt 0.408 0.408 0.408
2 H 0.500 0.500 0.500
3 Cs 0.664 0.664 0.664
4 H 0.314 0.314 0.314
5 Rb 0.155 0.155 0.155

Values from the calculation:
Total moment: 0.0 μB per cell
Total energy: -16.21 eV/cell